{
  "formula": "Li7Mn2Co3O12",
  "functional": "GGA+U",
  "state": "relaxed",
  "lattice": [[5.191, 0.000, 0.000], [0.000, 2.891, 0.000], [-0.384, 0.000, 14.482]],
  "species": ["Li", "Li", "Li", "Li", "Li", "Li", "Li", "Mn", "Mn", "Co", "Co", "Co", "O", "O", "O", "O", "O", "O", "O", "O", "O", "O", "O", "O"],
  "fractional_positions": [[0.000, 0.000, 0.000], [0.000, 0.000, 0.500], [0.167, 0.500, 0.329], [0.349, 0.000, 0.156], [0.500, 0.500, 0.000], [0.651, 0.000, 0.844], [0.833, 0.500, 0.671], [0.331, 0.000, 0.667], [0.669, 0.000, 0.333], [0.137, 0.500, 0.846], [0.500, 0.500, 0.500], [0.863, 0.500, 0.154], [0.042, 0.000, 0.748], [0.155, 0.500, 0.092], [0.173, 0.500, 0.592], [0.322, 0.000, 0.909], [0.370, 0.000, 0.414], [0.482, 0.500, 0.738], [0.518, 0.500, 0.262], [0.630, 0.000, 0.586], [0.678, 0.000, 0.091], [0.827, 0.500, 0.408], [0.845, 0.500, 0.908], [0.958, 0.000, 0.252]],
  "m_tot_mub_per_fu": 16.0,
  "crystal_system": "monoclinic",
  "rho_g_cm3": 4.03,
  "polymorph_energy_mev_per_atom": 53.5
}